[1]
Density functional theory data (PBE) for crystalline CrFe2GeH at its relaxed geometry.

Properties
As for the space-group type: P4/mmm, No. 123. For the total moment, the calculation gives 5.53 μB/f.u. As for the theoretical density: 7.77 Mg/m³. The total energy comes out at -6.9391 eV per atom.

Cell lengths 3.6706, 3.6706, 3.7621 Å; angles 90.00, 90.00, 90.00 degrees
Fractional coordinates of all 5 atoms:
Cr  0.0000  0.0000  0.0000
Fe  0.0000  0.5000  0.5000
Fe  0.5000  0.0000  0.5000
Ge  0.5000  0.5000  0.0000
H  0.0000  0.0000  0.5000

[2]
Density functional theory data (PBE) for crystalline KFe3Rh at its relaxed geometry.

Properties
As for the space-group type: Pm-3m, No. 221. For the energy of formation, the calculation gives 1.013 eV per atom. For the total moment, the calculation gives 10.56 μB/f.u. As for the theoretical density: 4.63 Mg/m³. The total energy comes out at -5.7542 eV per atom.

Cell lengths 4.8071, 4.8071, 4.8071 Å; angles 90.00, 90.00, 90.00 degrees
Fractional coordinates of all 5 atoms:
K  0.0000  0.0000  0.0000
Fe  0.0000  0.5000  0.5000
Fe  0.5000  0.0000  0.5000
Fe  0.5000  0.5000  0.0000
Rh  0.5000  0.5000  0.5000

[3]
Density functional theory data (PBE) for crystalline TcOs2Br at its relaxed geometry.

Properties
As for the space-group type: R3m, No. 160. For the total moment, the calculation gives 0.00 μB/f.u. As for the energy relative to the elements, uncorrected: 689 meV per atom. As for the theoretical density: 14.80 Mg/m³. The total energy comes out at -7.9360 eV per atom.

Cell lengths 2.8545, 2.8545, 26.6286 Å; angles 90.00, 90.00, 120.00 degrees
Fractional coordinates of all 12 atoms:
Tc  0.0000  0.0000  0.0000
Tc  0.3333  0.6667  0.6667
Tc  0.6667  0.3333  0.3333
Os  0.0000  0.0000  0.4928
Os  0.0000  0.0000  0.7477
Os  0.3333  0.6667  0.1594
Os  0.3333  0.6667  0.4143
Os  0.6667  0.3333  0.0810
Os  0.6667  0.3333  0.8261
Br  0.0000  0.0000  0.2545
Br  0.3333  0.6667  0.9212
Br  0.6667  0.3333  0.5878

[4]
Density functional theory data (PBE) for crystalline ZnCd2Hg2 at its relaxed geometry.

Properties
As for the space-group type: P4/mbm, No. 127. For the energy of formation, the calculation gives 0.105 eV per atom. For the total moment, the calculation gives 0.00 μB/f.u. As for the theoretical density: 9.44 Mg/m³. The total energy comes out at -0.6370 eV per atom.

Cell lengths 7.3756, 7.3756, 4.4730 Å; angles 90.00, 90.00, 90.00 degrees
Fractional coordinates of all 10 atoms:
Zn  0.0000  0.0000  0.0000
Zn  0.5000  0.5000  0.0000
Cd  0.1459  0.3541  0.0000
Cd  0.3541  0.8541  0.0000
Cd  0.6459  0.1459  0.0000
Cd  0.8541  0.6459  0.0000
Hg  0.1608  0.6608  0.5000
Hg  0.3392  0.1608  0.5000
Hg  0.6608  0.8392  0.5000
Hg  0.8392  0.3392  0.5000

[5]
Density functional theory data (PBE) for crystalline LaYIr2 at its relaxed geometry.

Properties
As for the space-group type: I-42d, No. 122. For the energy of formation, the calculation gives -0.341 eV per atom. For the total moment, the calculation gives 0.00 μB/f.u. As for the theoretical density: 11.31 Mg/m³. The total energy comes out at -7.6198 eV per atom.

Cell lengths 7.5621, 7.5621, 6.2856 Å; angles 90.00, 90.00, 90.00 degrees
Fractional coordinates of all 16 atoms:
La  0.0000  0.0000  0.0000
La  0.0000  0.5000  0.2500
La  0.5000  0.0000  0.7500
La  0.5000  0.5000  0.5000
Y  0.0000  0.0000  0.5000
Y  0.0000  0.5000  0.7500
Y  0.5000  0.0000  0.2500
Y  0.5000  0.5000  0.0000
Ir  0.2481  0.7500  0.1250
Ir  0.2500  0.2481  0.8750
Ir  0.2500  0.2519  0.3750
Ir  0.2519  0.7500  0.6250
Ir  0.7481  0.2500  0.6250
Ir  0.7500  0.7481  0.3750
Ir  0.7500  0.7519  0.8750
Ir  0.7519  0.2500  0.1250

[6]
Density functional theory data (PBE) for crystalline Li2MoP2 at its relaxed geometry.

Properties
As for the space-group type: P4/mbm, No. 127. For the energy of formation, the calculation gives -0.386 eV per atom. For the total moment, the calculation gives 0.00 μB/f.u. As for the theoretical density: 4.00 Mg/m³. The total energy comes out at -5.4816 eV per atom.

Cell lengths 6.2639, 6.2639, 3.6353 Å; angles 90.00, 90.00, 90.00 degrees
Fractional coordinates of all 10 atoms:
Li  0.1666  0.3334  0.0000
Li  0.3334  0.8334  0.0000
Li  0.6666  0.1666  0.0000
Li  0.8334  0.6666  0.0000
Mo  0.0000  0.0000  0.5000
Mo  0.5000  0.5000  0.5000
P  0.1375  0.6375  0.5000
P  0.3625  0.1375  0.5000
P  0.6375  0.8625  0.5000
P  0.8625  0.3625  0.5000

[7]
Density functional theory data (PBE) for crystalline Tl2ZnHg6 at its relaxed geometry.

Properties
As for the space-group type: Amm2, No. 38. For the energy of formation, the calculation gives 0.035 eV per atom. For the total moment, the calculation gives 0.00 μB/f.u. As for the theoretical density: 11.26 Mg/m³. The total energy comes out at -0.8335 eV per atom.

Cell lengths 3.5410, 9.3926, 9.3926 Å; angles 127.65, 90.00, 90.00 degrees
Fractional coordinates of all 9 atoms:
Tl  0.0000  0.1491  0.8509
Tl  0.0000  0.8509  0.1491
Zn  0.5000  0.4882  0.4882
Hg  0.0000  0.2695  0.5419
Hg  0.0000  0.5419  0.2695
Hg  0.0000  0.7584  0.7584
Hg  0.5000  0.1491  0.1491
Hg  0.5000  0.4837  0.9114
Hg  0.5000  0.9114  0.4837

[8]
Density functional theory data (PBE) for crystalline FeAg2OsPd at its relaxed geometry.

Properties
As for the space-group type: P4/mmm, No. 123. For the energy of formation, the calculation gives 1.528 eV per atom. For the total moment, the calculation gives 2.81 μB/f.u. As for the theoretical density: 8.50 Mg/m³. The total energy comes out at -4.5895 eV per atom.

Cell lengths 5.0552, 5.0552, 4.3424 Å; angles 90.00, 90.00, 90.00 degrees
Fractional coordinates of all 5 atoms:
Fe  0.0000  0.0000  0.0000
Ag  0.0000  0.5000  0.5000
Ag  0.5000  0.0000  0.5000
Os  0.0000  0.0000  0.5000
Pd  0.5000  0.5000  0.0000